Entry 1:
LaInMo: relaxed, PBE. Values from VASP.

Cell and atoms, written as Quantum ESPRESSO input:
```
&SYSTEM
  ibrav = 0, nat = 3, ntyp = 3
/
ATOMIC_SPECIES
La 138.91 La.upf
In 114.82 In.upf
Mo 95.94 Mo.upf
ATOMIC_POSITIONS crystal
La 0.000 0.000 0.000
In 0.691 0.691 0.000
Mo 0.331 0.331 0.000
CELL_PARAMETERS angstrom
-1.534 1.534 7.338
1.534 -1.534 7.338
1.534 1.534 -7.338
```

Summary:
**E**: -17.475 eV for the cell shown
**Calculated formation energy**: 0.34 eV/atom


Entry 2:
La2InMo: relaxed, PBE. Values from VASP.

Cell and atoms, written as Quantum ESPRESSO input:
```
&SYSTEM
  ibrav = 0, nat = 4, ntyp = 3
/
ATOMIC_SPECIES
La 138.91 La.upf
In 114.82 In.upf
Mo 95.94 Mo.upf
ATOMIC_POSITIONS crystal
La 0.000 0.000 0.000
La 0.500 0.500 0.330
In 0.500 0.500 0.735
Mo 0.000 0.000 0.532
CELL_PARAMETERS angstrom
1.793 -2.759 0.000
1.793 2.759 0.000
0.000 0.000 10.714
```

Summary:
**E**: -22.120 eV for the cell shown
**Calculated formation energy**: 0.33 eV/atom